A relaxed structure of YBe2, computed with PBE-GGA.

Geometry as POSCAR:
```
YBe2
1.0
-2.204 2.204 4.837
2.204 -2.204 4.837
2.204 2.204 -4.837
Y Be
2 4
Cartesian
0.000 0.000 2.418
0.000 0.000 7.255
2.933 0.729 0.000
0.729 1.475 0.000
1.475 0.729 4.837
-0.729 1.475 4.837
```

Results
As for the symmetry: I4/mcm. For the formation energy, the calculation gives 0.2057 eV/atom. The value obtained for the density of states at the Fermi level is 0.778 states/eV/atom. The uncorrected energy comes out at -4.43 eV/atom.